1.
Compound: KI2Br2
Source: Alexandria via LeMat-Bulk
Functional: PBE
Structure: optimized geometry

```
KI2Br2
1.0
-3.7972 0.1277 8.5316
3.1715 -8.6481 1.5410
4.8102 2.1398 2.1089
I Br K
4 4 2
Direct
0.3017 0.1983 0.5000 I
0.1983 0.6983 0.5000 I
0.8017 0.3017 0.5000 I
0.6983 0.8017 0.5000 I
0.2718 0.2282 0.0000 Br
0.2282 0.7282 0.0000 Br
0.7282 0.7718 0.0000 Br
0.7718 0.2718 0.0000 Br
0.5000 0.5000 0.0000 K
0.0000 0.0000 0.0000 K
```

## Properties
Relative energy among the computed polymorphs, eV per atom: 0.000
N(E_F), states/eV/cell: 1.7
Volume, Å³/atom: 49.5
ΔE_f (raw), eV/atom: -0.6308
E_tot, eV/atom: -2.140
SG: No. 127


2.
Compound: LaPrY3Ho
Source: Alexandria via LeMat-Bulk
Functional: PBE
Structure: optimized geometry

```
LaPrY3Ho
1.0
-1.1052 0.5719 -5.7975
-4.8483 -2.0851 3.7509
-3.4565 11.2125 1.7651
Y Ho Pr La
6 2 2 2
Direct
0.6742 0.3484 0.5022 Y
0.3258 0.6516 0.4978 Y
0.8265 0.6530 0.2500 Y
0.6742 0.3484 0.9978 Y
0.1735 0.3470 0.7500 Y
0.3258 0.6516 0.0022 Y
0.8286 0.6572 0.7500 Ho
0.1714 0.3428 0.2500 Ho
0.0000 0.0000 0.0000 Pr
0.0000 0.0000 0.5000 Pr
0.5023 0.0047 0.2500 La
0.4977 0.9953 0.7500 La
```

## Properties
N(E_F), states/eV/cell: 25.1
Volume, Å³/atom: 33.7
E_tot, eV/atom: -5.511
SG: No. 63
E_form, eV/atom: 0.10


3.
Compound: Ba6Na
Source: Alexandria via LeMat-Bulk
Functional: PBE
Structure: optimized geometry

```
Ba6Na
1.0
-0.8095 -3.4874 2.4562
5.5895 -4.9254 -7.7062
5.3893 5.6970 7.3093
Na Ba
1 6
Direct
0.5000 0.0000 0.0000 Na
0.7716 0.1435 0.7201 Ba
0.9484 0.7200 0.5765 Ba
0.3721 0.4234 0.1435 Ba
0.0516 0.2800 0.4235 Ba
0.2284 0.8565 0.2799 Ba
0.6279 0.5766 0.8565 Ba
```

## Properties
Relative energy among the computed polymorphs, eV per atom: 0.000
N(E_F), states/eV/cell: 9.7
Volume, Å³/atom: 60.6
E_tot, eV/atom: -1.811
SG: No. 148
E_form, eV/atom: 0.03


4.
Compound: RbSeBr3
Source: Alexandria via LeMat-Bulk
Functional: PBE
Structure: optimized geometry

```
RbSeBr3
1.0
-3.8408 1.2889 -4.0222
-1.1090 -5.5536 -0.7207
-11.5973 -1.4688 6.5522
Rb Br Se
2 6 2
Direct
0.8390 0.3390 0.3220 Rb
0.6610 0.1610 0.6780 Rb
0.2549 0.2549 0.4902 Br
0.0951 0.3515 0.8098 Br
0.0951 0.8387 0.8098 Br
0.1613 0.9049 0.1902 Br
0.7451 0.7451 0.5098 Br
0.6485 0.9049 0.1902 Br
0.2500 0.7500 0.5000 Se
0.0000 0.0000 0.0000 Se
```

## Properties
N(E_F), states/eV/cell: 7.6
Volume, Å³/atom: 41.6
ΔE_f (raw), eV/atom: -0.4536
E_tot, eV/atom: -2.348
SG: No. 119